1.
MnCu4Mo, optimized geometry, DFT PBE-GGA; SG = F-43m (216)
1.0
0.000 3.392 3.392
3.392 0.000 3.392
3.392 3.392 0.000
Mn Cu Mo
1 4 1
Direct
0.000 0.000 0.000
0.124 0.625 0.625
0.625 0.124 0.625
0.625 0.625 0.124
0.625 0.625 0.625
0.250 0.250 0.250

---

2.
MnCuMo, optimized geometry, DFT PBE-GGA; excess energy over the best structure of this formula in the dataset = 0.00 kcal/mol of atoms; SG = Cmcm (63)
1.0
1.458 -6.577 0.000
1.458 6.577 0.000
0.000 0.000 4.079
Mn Cu Mo
2 2 2
Direct
0.071 0.929 0.750
0.929 0.071 0.250
0.265 0.735 0.250
0.735 0.265 0.750
0.411 0.589 0.750
0.589 0.411 0.250

---

3.
MnCuMo, optimized geometry, DFT PBE-GGA; excess energy over the best structure of this formula in the dataset = 12.12 kcal/mol of atoms; SG = F-43m (216)
1.0
0.000 2.841 2.841
2.841 0.000 2.841
2.841 2.841 0.000
Mn Cu Mo
1 1 1
Direct
0.000 0.000 0.000
0.750 0.750 0.750
0.250 0.250 0.250

---

4.
MnCuMo4, optimized geometry, DFT PBE-GGA; SG = F-43m (216)
1.0
0.000 3.657 3.657
3.657 0.000 3.657
3.657 3.657 0.000
Mn Cu Mo
1 1 4
Direct
0.000 0.000 0.000
0.250 0.250 0.250
0.127 0.624 0.624
0.624 0.127 0.624
0.624 0.624 0.127
0.624 0.624 0.624

---

Number 1: DFT formation energy 0.228 eV/atom. Number 2: DFT formation energy 0.188 eV/atom. Number 3: DFT formation energy 0.713 eV/atom. Number 4: DFT formation energy 0.559 eV/atom.